Compound: CsTmAl
Source: the Open Quantum Materials Database
Functional: GGA-PBE
Structure: relaxed

abc: 5.413 5.413 5.413
angles: 60.00 60.00 60.00
Fractional positions:
Al 0.250 0.250 0.250
Cs 0.750 0.750 0.750
Tm 0.000 0.000 0.000

- Total magnetization: 0.01 Bohr magnetons per cell
- Density: 4.87 g cm⁻³
- Raw total energy: -2.206 eV/atom

---

Compound: CsAlW
Source: the Open Quantum Materials Database
Functional: GGA-PBE
Structure: relaxed

abc: 4.902 4.902 4.902
angles: 60.00 60.00 60.00
Fractional positions:
Al 0.250 0.250 0.250
Cs 0.750 0.750 0.750
W 0.000 0.000 0.000

- Total magnetization: 2.00 Bohr magnetons per cell
- Relative energy among the computed polymorphs: 0.000 eV per formula unit
- Density: 6.85 g cm⁻³

---

Compound: CsAlW
Source: the Open Quantum Materials Database
Functional: GGA-PBE
Structure: relaxed

abc: 5.104 5.104 5.104
angles: 60.00 60.00 60.00
Fractional positions:
Al 0.000 0.000 0.000
Cs 0.250 0.250 0.250
W 0.750 0.750 0.750

- Total magnetization: 2.97 Bohr magnetons per cell
- Relative energy among the computed polymorphs: 0.571 eV per formula unit
- Density: 6.07 g cm⁻³

---

Compound: CsZrAl
Source: the Open Quantum Materials Database
Functional: GGA-PBE
Structure: relaxed

abc: 5.322 5.322 5.322
angles: 60.00 60.00 60.00
Fractional positions:
Al 0.000 0.000 0.000
Cs 0.250 0.250 0.250
Zr 0.750 0.750 0.750

- Total magnetization: 0.03 Bohr magnetons per cell
- Relative energy among the computed polymorphs: 0.000 eV per formula unit
- Density: 3.91 g cm⁻³

---

Compound: Al3Cu
Source: the Open Quantum Materials Database
Functional: GGA-PBE
Structure: relaxed

abc: 5.513 5.513 4.591
angles: 90.00 90.00 120.00
Fractional positions:
Al 0.169 0.337 0.250
Al 0.663 0.831 0.250
Al 0.169 0.831 0.250
Al 0.831 0.169 0.750
Al 0.337 0.169 0.750
Al 0.831 0.663 0.750
Cu 0.667 0.333 0.250
Cu 0.333 0.667 0.750

- Density: 3.97 g cm⁻³
- Raw total energy: -3.724 eV/atom

---

Compound: AlCu4
Source: the Open Quantum Materials Database
Functional: GGA-PBE
Structure: relaxed

abc: 6.282 6.282 6.282
angles: 90.00 90.00 90.00
Fractional positions:
Al 0.060 0.060 0.060
Al 0.940 0.560 0.440
Al 0.440 0.940 0.560
Al 0.560 0.440 0.940
Cu 0.875 0.701 0.047
Cu 0.201 0.453 0.125
Cu 0.809 0.309 0.191
Cu 0.453 0.125 0.201
Cu 0.547 0.625 0.299
Cu 0.191 0.809 0.309
Cu 0.799 0.953 0.375
Cu 0.125 0.201 0.453
Cu 0.625 0.299 0.547
Cu 0.299 0.547 0.625
Cu 0.691 0.691 0.691
Cu 0.047 0.875 0.701
Cu 0.953 0.375 0.799
Cu 0.309 0.191 0.809
Cu 0.701 0.047 0.875
Cu 0.375 0.799 0.953

- Density: 7.53 g cm⁻³
- Raw total energy: -3.839 eV/atom

---

Compound: DyAl2Cu2
Source: the Open Quantum Materials Database
Functional: GGA-PBE
Structure: relaxed

abc: 5.779 5.779 5.779
angles: 137.46 137.46 61.74
Fractional positions:
Al 0.372 0.372 0.000
Al 0.628 0.628 0.000
Cu 0.750 0.250 0.500
Cu 0.250 0.750 0.500
Dy 0.000 0.000 0.000

- Total magnetization: 0.00 Bohr magnetons per cell
- Density: 6.54 g cm⁻³
- Raw total energy: -4.257 eV/atom

---

Compound: Dy2ErAl7Cu2
Source: the Open Quantum Materials Database
Functional: GGA-PBE
Structure: relaxed

abc: 9.029 9.029 9.029
angles: 35.28 35.28 35.28
Fractional positions:
Al 0.582 0.582 0.073
Al 0.927 0.418 0.418
Al 0.418 0.927 0.418
Al 0.500 0.500 0.500
Al 0.582 0.073 0.582
Al 0.073 0.582 0.582
Al 0.418 0.418 0.927
Cu 0.335 0.335 0.335
Cu 0.665 0.665 0.665
Dy 0.142 0.142 0.142
Dy 0.858 0.858 0.858
Er 0.000 0.000 0.000

- Total magnetization: 0.00 Bohr magnetons per cell
- Density: 6.12 g cm⁻³
- Raw total energy: -4.431 eV/atom

---

Q: Which of these has the highest density?
A: AlCu4

---

Copy entry 4 word for word.
Compound: CsZrAl
Source: the Open Quantum Materials Database
Functional: GGA-PBE
Structure: relaxed

abc: 5.322 5.322 5.322
angles: 60.00 60.00 60.00
Fractional positions:
Al 0.000 0.000 0.000
Cs 0.250 0.250 0.250
Zr 0.750 0.750 0.750

- Total magnetization: 0.03 Bohr magnetons per cell
- Relative energy among the computed polymorphs: 0.000 eV per formula unit
- Density: 3.91 g cm⁻³